A relaxed structure of TbCo2. Source: OQMD, functional GGA-PBE.

Cell and atoms, written as POSCAR:
```
TbCo2
1.0
5.065 0.000 0.000
0.000 5.065 0.000
0.000 0.000 4.263
Tb Co
2 4
Cartesian
0.000 0.000 0.000
2.532 2.532 2.131
0.853 0.853 2.131
1.680 3.385 0.000
3.385 1.680 0.000
4.212 4.212 2.131
```

Output
Space-group type: P4_2/mnm
Formation energy from the elements: 4.16 eV per formula unit
VASP energy: -4.894 eV/atom

A relaxed structure of NaMgTaTe3. Source: OQMD, functional GGA-PBE.

Cell and atoms, written as POSCAR:
```
NaMgTaTe3
1.0
2.023 -7.487 0.000
2.023 7.487 0.000
0.000 0.000 10.827
Na Mg Ta Te
2 2 2 6
Cartesian
2.023 3.924 8.120
2.023 -3.924 2.707
2.023 0.518 2.707
2.023 -0.518 8.120
0.000 0.000 0.000
0.000 0.000 5.414
2.023 6.174 2.707
2.023 2.037 0.436
2.023 2.037 4.978
2.023 -2.037 5.850
2.023 -2.037 10.391
2.023 -6.174 8.120
```

Output
Space-group type: Cmcm
VASP energy: -4.439 eV/atom

A relaxed structure of Na2ZnC. Source: OQMD, functional GGA-PBE.

Cell and atoms, written as POSCAR:
```
Na2ZnC
1.0
5.072 0.000 0.000
0.000 5.995 0.000
0.000 0.000 6.326
Na Zn C
4 2 2
Cartesian
0.000 0.955 1.582
0.000 5.040 4.745
2.362 2.997 3.163
2.710 2.997 0.000
2.519 0.000 0.000
2.553 0.000 3.163
2.536 1.107 1.582
2.536 4.888 4.745
```

Output
Space-group type: P222_1
VASP energy: -2.790 eV/atom

A relaxed structure of SrPrAgTe2S. Source: OQMD, functional GGA-PBE.

Cell and atoms, written as POSCAR:
```
SrPrAgTe2S
1.0
2.195 -7.345 0.000
2.195 7.345 0.000
0.000 0.000 10.882
Sr Pr Ag Te S
2 2 2 4 2
Cartesian
2.195 4.030 8.162
2.195 -4.030 2.721
2.195 0.000 0.000
2.195 0.000 5.441
2.195 7.043 2.721
2.195 -7.043 8.162
2.195 5.119 0.672
2.195 5.119 4.769
2.195 -5.119 6.113
2.195 -5.119 10.210
2.195 1.150 2.721
2.195 -1.150 8.162
```

Output
Space-group type: Cmcm
VASP energy: -4.624 eV/atom

A relaxed structure of LiLuCuS3. Source: OQMD, functional GGA-PBE.

Cell and atoms, written as POSCAR:
```
LiLuCuS3
1.0
10.119 0.000 0.000
0.000 3.703 0.000
0.000 0.000 12.191
Li Lu Cu S
4 4 4 12
Cartesian
2.161 0.926 0.202
2.898 2.777 6.297
7.221 0.926 5.894
7.957 2.777 11.989
0.150 2.777 9.069
4.910 0.926 2.974
5.209 2.777 9.217
9.969 0.926 3.122
2.386 2.777 2.798
2.673 0.926 8.893
7.446 2.777 3.297
7.732 0.926 9.393
0.599 2.777 1.359
0.967 0.926 7.380
2.404 0.926 4.156
2.655 2.777 10.252
4.092 2.777 1.284
4.460 0.926 7.455
5.658 2.777 4.736
6.027 0.926 10.907
7.463 0.926 1.939
7.715 2.777 8.034
9.151 2.777 4.811
9.520 0.926 10.831
```

Output
Space-group type: Pnma
VASP energy: -4.917 eV/atom

A relaxed structure of Zn2Tc. Source: OQMD, functional GGA-PBE.

Cell and atoms, written as POSCAR:
```
Zn2Tc
1.0
7.315 0.000 0.000
0.000 4.394 0.000
-2.012 0.000 10.716
Zn Tc
16 8
Cartesian
0.236 1.099 0.725
-0.260 1.099 3.444
-0.639 1.099 6.145
-1.127 1.099 8.801
0.902 3.296 6.401
0.420 3.296 9.098
0.883 1.099 10.551
1.897 1.099 5.220
3.406 3.296 5.496
4.420 3.296 0.165
4.882 1.099 1.618
4.400 1.099 4.314
6.429 3.296 1.915
5.941 3.296 4.570
5.562 3.296 7.272
5.066 3.296 9.990
1.205 3.296 3.672
1.763 3.296 1.072
2.280 1.099 2.493
1.533 1.099 7.912
3.769 3.296 2.803
3.023 3.296 8.222
3.539 1.099 9.643
4.097 1.099 7.044
```

Output
Space-group type: P2_1/m
Formation energy from the elements: 0.28 eV per formula unit
Relative energy among the computed polymorphs: 71.2 meV/atom
VASP energy: -4.204 eV/atom

> VASP energy of number 3 (Na2ZnC)?

-2.790 eV/atom

> The lowest VASP energy belongs to which entry?

LiLuCuS3

> What is the VASP energy in the third record?

-2.790 eV/atom